(1)
## RbYPtSe3 (GGA-PBE)

Data for a relaxed structure of RbYPtSe3.

Output
Magnetic moment, μB/f.u.: 0.00
E above lowest polymorph, eV per atom: 0.000

The structure in CIF format:
```
data_RbYPtSe3
_symmetry_space_group_name_H-M 'P 1'
_symmetry_Int_Tables_number 1
_symmetry_space_group_name_Hall 'P 1'
_cell_length_a 8.3307
_cell_length_b 8.3307
_cell_length_c 10.3561
_cell_angle_alpha 90.00
_cell_angle_beta 90.00
_cell_angle_gamma 152.02
loop_
_atom_site_label
_atom_site_fract_x
_atom_site_fract_y
_atom_site_fract_z
_atom_site_occupancy
Rb1 0.2514 0.7486 0.7500 1
Rb2 0.7486 0.2514 0.2500 1
Se1 0.4205 0.5795 0.2500 1
Se2 0.1203 0.8797 0.0687 1
Se3 0.8797 0.1203 0.9313 1
Se4 0.8797 0.1203 0.5687 1
Se5 0.1203 0.8797 0.4313 1
Se6 0.5795 0.4205 0.7500 1
Pt1 0.0161 0.9839 0.2500 1
Pt2 0.9839 0.0161 0.7500 1
Y1 0.5000 0.5000 0.0000 1
Y2 0.5000 0.5000 0.5000 1
```

(2)
## ZnCo2Au (GGA-PBE)

Data for a relaxed structure of ZnCo2Au.

Output
Formation energy from the elements, kJ/mol of formula units: 54
Magnetic moment, μB/f.u.: 3.15

The structure in CIF format:
```
data_ZnCo2Au
_symmetry_space_group_name_H-M 'P 1'
_symmetry_Int_Tables_number 1
_symmetry_space_group_name_Hall 'P 1'
_cell_length_a 4.2465
_cell_length_b 4.2465
_cell_length_c 4.2465
_cell_angle_alpha 60.00
_cell_angle_beta 60.00
_cell_angle_gamma 60.00
loop_
_atom_site_label
_atom_site_fract_x
_atom_site_fract_y
_atom_site_fract_z
_atom_site_occupancy
Co1 0.7500 0.7500 0.7500 1
Co2 0.0000 0.0000 0.0000 1
Zn1 0.2500 0.2500 0.2500 1
Au1 0.5000 0.5000 0.5000 1
```

(3)
## NaPd5 (GGA-PBE)

Data for a relaxed structure of NaPd5.

The structure in CIF format:
```
data_NaPd5
_symmetry_space_group_name_H-M 'P 1'
_symmetry_Int_Tables_number 1
_symmetry_space_group_name_Hall 'P 1'
_cell_length_a 5.3048
_cell_length_b 5.3048
_cell_length_c 4.4157
_cell_angle_alpha 90.00
_cell_angle_beta 90.00
_cell_angle_gamma 120.00
loop_
_atom_site_label
_atom_site_fract_x
_atom_site_fract_y
_atom_site_fract_z
_atom_site_occupancy
Pd1 0.3333 0.6667 0.0000 1
Pd2 0.5000 0.5000 0.5000 1
Pd3 0.6667 0.3333 0.0000 1
Pd4 0.0000 0.5000 0.5000 1
Pd5 0.5000 0.0000 0.5000 1
Na1 0.0000 0.0000 0.0000 1
```

(4)
## ErTmHf2Sb2 (GGA-PBE)

Data for a relaxed structure of ErTmHf2Sb2.

Output
Magnetic moment, μB/f.u.: 0.00

The structure in CIF format:
```
data_ErTmHf2Sb2
_symmetry_space_group_name_H-M 'P 1'
_symmetry_Int_Tables_number 1
_symmetry_space_group_name_Hall 'P 1'
_cell_length_a 8.7113
_cell_length_b 8.7113
_cell_length_c 8.7113
_cell_angle_alpha 151.84
_cell_angle_beta 151.84
_cell_angle_gamma 40.25
loop_
_atom_site_label
_atom_site_fract_x
_atom_site_fract_y
_atom_site_fract_z
_atom_site_occupancy
Sb1 0.8656 0.8656 0.0000 1
Sb2 0.1344 0.1344 0.0000 1
Tm1 0.6756 0.6756 0.0000 1
Hf1 0.0001 0.5001 0.5000 1
Hf2 0.5001 0.0001 0.5000 1
Er1 0.3240 0.3240 0.0000 1
```

(5)
## CsRbCuAs (GGA-PBE)

Data for a relaxed structure of CsRbCuAs.

Output
E above lowest polymorph, eV per atom: 0.002

The structure in CIF format:
```
data_CsRbCuAs
_symmetry_space_group_name_H-M 'P 1'
_symmetry_Int_Tables_number 1
_symmetry_space_group_name_Hall 'P 1'
_cell_length_a 6.4902
_cell_length_b 6.7138
_cell_length_c 6.7138
_cell_angle_alpha 69.64
_cell_angle_beta 90.00
_cell_angle_gamma 90.00
loop_
_atom_site_label
_atom_site_fract_x
_atom_site_fract_y
_atom_site_fract_z
_atom_site_occupancy
Rb1 0.7500 0.6737 0.9923 1
Rb2 0.2500 0.9923 0.6737 1
Cs1 0.7500 0.0095 0.3238 1
Cs2 0.2500 0.3238 0.0095 1
Cu1 0.5000 0.4969 0.4969 1
Cu2 0.0000 0.4969 0.4969 1
As1 0.7500 0.2809 0.7259 1
As2 0.2500 0.7259 0.2809 1
```

(6)
## Ta2B2W (GGA-PBE)

Data for a relaxed structure of Ta2B2W.

Output
Magnetic moment, μB/f.u.: 0.00

The structure in CIF format:
```
data_Ta2B2W
_symmetry_space_group_name_H-M 'P 1'
_symmetry_Int_Tables_number 1
_symmetry_space_group_name_Hall 'P 1'
_cell_length_a 6.1173
_cell_length_b 6.1173
_cell_length_c 3.2914
_cell_angle_alpha 90.00
_cell_angle_beta 90.00
_cell_angle_gamma 90.00
loop_
_atom_site_label
_atom_site_fract_x
_atom_site_fract_y
_atom_site_fract_z
_atom_site_occupancy
Ta1 0.3229 0.8229 0.5000 1
Ta2 0.8229 0.6771 0.5000 1
Ta3 0.6771 0.1771 0.5000 1
Ta4 0.1771 0.3229 0.5000 1
W1 0.5000 0.5000 0.0000 1
W2 0.0000 0.0000 0.0000 1
B1 0.8892 0.3892 0.0000 1
B2 0.1108 0.6108 0.0000 1
B3 0.6108 0.8892 0.0000 1
B4 0.3892 0.1108 0.0000 1
```

(7)
## BaDyAl (GGA-PBE)

Data for a relaxed structure of BaDyAl.

Output
Magnetic moment, μB/f.u.: 0.03

The structure in CIF format:
```
data_BaDyAl
_symmetry_space_group_name_H-M 'P 1'
_symmetry_Int_Tables_number 1
_symmetry_space_group_name_Hall 'P 1'
_cell_length_a 5.4392
_cell_length_b 5.4392
_cell_length_c 5.4392
_cell_angle_alpha 60.00
_cell_angle_beta 60.00
_cell_angle_gamma 60.00
loop_
_atom_site_label
_atom_site_fract_x
_atom_site_fract_y
_atom_site_fract_z
_atom_site_occupancy
Ba1 0.2500 0.2500 0.2500 1
Al1 0.0000 0.0000 0.0000 1
Dy1 0.7500 0.7500 0.7500 1
```

(8)
## La2AgO (GGA-PBE)

Data for a relaxed structure of La2AgO.

Output
Magnetic moment, μB/f.u.: 0.01

The structure in CIF format:
```
data_La2AgO
_symmetry_space_group_name_H-M 'P 1'
_symmetry_Int_Tables_number 1
_symmetry_space_group_name_Hall 'P 1'
_cell_length_a 9.5905
_cell_length_b 9.5905
_cell_length_c 5.1126
_cell_angle_alpha 90.00
_cell_angle_beta 90.00
_cell_angle_gamma 157.58
loop_
_atom_site_label
_atom_site_fract_x
_atom_site_fract_y
_atom_site_fract_z
_atom_site_occupancy
La1 0.7096 0.2904 0.7500 1
La2 0.8985 0.1015 0.7500 1
La3 0.1015 0.8985 0.2500 1
La4 0.2904 0.7096 0.2500 1
O1 0.3084 0.6916 0.7500 1
O2 0.6916 0.3084 0.2500 1
Ag1 0.4601 0.5399 0.2500 1
Ag2 0.5399 0.4601 0.7500 1
```

no.,energy (eV per atom)
1,-5.12
2,-4.55
3,-4.52
4,-6.88
5,-2.85
6,-10.67
7,-3.23
8,-5.90